8
Lattice="4.905 0.000 0.000 0.000 4.905 0.000 -2.452 -2.452 6.338" Properties=species:S:1:pos:R:3 comment="LaScF2 (GGA-PBEsol, optimized geometry)" e_tot_ry_per_atom=-0.45679 formation_energy_uncorrected_ev_per_atom=-2.263 n_ef_per_ev_fu=2.48 rho_g_cm3=4.8 volume_a3_per_cell=152.5 pbc="T T T"
Sc 2.452 2.452 0.000
La 0.000 2.452 3.169
F 3.014 1.226 1.584
La 0.000 0.000 0.000
Sc 2.452 0.000 3.169
F -1.226 -0.562 4.753
F 1.891 3.679 1.584
F 1.226 0.562 4.753

6
Lattice="4.175 0.000 0.000 -2.088 3.616 0.000 0.000 0.000 8.119" Properties=species:S:1:pos:R:3 comment="LaSeF (GGA-PBEsol, optimized geometry)" e_tot_ry_per_atom=-0.49525 formation_energy_uncorrected_ev_per_atom=-3.030 n_ef_per_ev_fu=0.00 rho_g_cm3=6.4 volume_a3_per_cell=122.6 pbc="T T T"
La 2.088 1.205 6.089
La 0.000 2.411 2.030
Se 0.000 0.000 4.059
F 0.000 2.411 6.089
F 2.088 1.205 2.030
Se 0.000 0.000 0.000

5
Lattice="4.288 0.000 0.000 0.000 5.990 0.000 0.000 0.000 5.990" Properties=species:S:1:pos:R:3 comment="SrLa2SiF (GGA-PBEsol, optimized geometry)" e_tot_ry_per_atom=-0.30578 formation_energy_uncorrected_ev_per_atom=-0.119 n_ef_per_ev_fu=5.03 rho_g_cm3=4.5 volume_a3_per_cell=153.9 pbc="T T T"
Sr 0.000 0.000 0.000
La 0.000 2.995 0.000
F 2.144 0.000 0.000
Si 2.144 2.995 2.995
La 0.000 0.000 2.995

4
Lattice="3.393 0.000 0.000 1.697 2.939 0.000 1.697 0.980 9.005" Properties=species:S:1:pos:R:3 comment="LaSnF2 (GGA-PBEsol, optimized geometry)" e_tot_ry_per_atom=-0.41032 formation_energy_uncorrected_ev_per_atom=-2.218 n_ef_per_ev_fu=2.19 rho_g_cm3=5.5 volume_a3_per_cell=89.8 pbc="T T T"
Sn 0.000 0.000 0.000
La 3.393 1.959 4.503
F 5.090 2.939 3.022
F 1.697 0.980 5.983

5
Lattice="4.064 0.000 0.000 0.000 4.064 0.000 0.000 0.000 5.276" Properties=species:S:1:pos:R:3 comment="LaTi2TcF (GGA-PBEsol, optimized geometry)" e_tot_ry_per_atom=-0.52483 formation_energy_uncorrected_ev_per_atom=-0.104 n_ef_per_ev_fu=7.69 rho_g_cm3=6.7 volume_a3_per_cell=87.1 pbc="T T T"
F 0.000 0.000 0.000
Ti 0.000 2.032 0.000
Tc 0.000 0.000 2.638
Ti 2.032 0.000 0.000
La 2.032 2.032 2.638

5
Lattice="4.775 0.000 0.000 0.000 4.775 0.000 0.000 0.000 4.775" Properties=species:S:1:pos:R:3 comment="LaTi3F (GGA-PBEsol, optimized geometry)" e_tot_ry_per_atom=-0.37943 formation_energy_uncorrected_ev_per_atom=1.286 n_ef_per_ev_fu=5.77 rho_g_cm3=4.6 volume_a3_per_cell=108.8 pbc="T T T"
Ti 0.000 0.000 2.387
La 0.000 0.000 0.000
F 2.387 2.387 2.387
Ti 2.387 0.000 0.000
Ti 0.000 2.387 0.000

5
Lattice="-2.703 -3.674 -2.419 4.121 -1.120 -2.902 1.541 -3.450 3.519" Properties=species:S:1:pos:R:3 comment="La3YF (GGA-PBEsol, optimized geometry)" e_tot_ry_per_atom=-0.44103 formation_energy_uncorrected_ev_per_atom=-1.043 n_ef_per_ev_fu=5.04 rho_g_cm3=6.3 volume_a3_per_cell=137.6 pbc="T T T"
La -1.351 -1.837 -1.210
La 0.770 -1.725 1.759
Y 1.479 -4.122 -0.901
F 0.000 0.000 0.000
La 2.060 -0.560 -1.451

18
Lattice="-5.007 3.047 0.709 -3.340 -5.230 -1.115 1.044 -0.245 8.430" Properties=species:S:1:pos:R:3 comment="LaZrF7 (GGA-PBEsol, optimized geometry)" e_tot_ry_per_atom=-0.51823 formation_energy_uncorrected_ev_per_atom=-3.948 n_ef_per_ev_fu=0.00 rho_g_cm3=3.9 volume_a3_per_cell=308.8 pbc="T T T"
F -0.714 -2.359 6.189
F -4.373 -1.168 4.234
F -2.543 1.288 2.375
F -4.773 1.204 0.449
F -3.852 1.494 4.902
F -5.174 -3.497 5.806
Zr -3.935 -3.408 1.191
F -1.945 -3.093 1.102
Zr -3.785 1.233 6.892
F -3.788 -3.718 3.169
La -4.825 0.574 2.810
F -3.032 -3.328 7.646
F -2.519 -5.080 5.331
F -1.551 -2.101 3.595
F -0.184 -0.116 1.942
La -2.983 -2.696 5.286
F -3.170 -0.667 6.612
F -4.308 -1.458 1.512

8
Lattice="4.331 0.000 0.000 -2.165 3.750 0.000 0.000 0.000 5.162" Properties=species:S:1:pos:R:3 comment="LiF3 (GGA-PBEsol, optimized geometry)" e_tot_ry_per_atom=-0.22531 formation_energy_uncorrected_ev_per_atom=-1.128 n_ef_per_ev_fu=2.43 rho_g_cm3=2.5 volume_a3_per_cell=83.8 e_above_lowest_polymorph_mev_per_atom=334 pbc="T T T"
Li 2.165 1.250 1.290
F 1.073 3.120 1.290
F 3.238 0.631 3.871
F -1.073 3.120 1.290
F 1.092 0.631 3.871
F 2.165 2.489 3.871
F 0.000 1.261 1.290
Li 0.000 2.500 3.871

4
Lattice="3.121 0.000 0.000 1.561 2.703 0.000 1.561 0.901 5.203" Properties=species:S:1:pos:R:3 comment="LiF3 (GGA-PBEsol, optimized geometry)" e_tot_ry_per_atom=-0.24986 formation_energy_uncorrected_ev_per_atom=-1.462 n_ef_per_ev_fu=0.00 rho_g_cm3=2.4 volume_a3_per_cell=43.9 e_above_lowest_polymorph_mev_per_atom=0 pbc="T T T"
Li 3.121 1.802 2.601
F 4.682 2.703 1.691
F 1.561 0.901 3.512
F 0.000 0.000 0.000

12
Lattice="-0.768 4.812 -1.414 -2.657 -1.623 -4.017 -2.617 -1.461 5.524" Properties=species:S:1:pos:R:3 comment="LiLuF4 (GGA-PBEsol, optimized geometry)" e_tot_ry_per_atom=-0.46035 formation_energy_uncorrected_ev_per_atom=-3.839 n_ef_per_ev_fu=0.00 rho_g_cm3=6.4 volume_a3_per_cell=133.1 pbc="T T T"
F -2.598 0.873 -3.222
F -3.444 0.856 3.316
F -1.194 -0.066 -1.014
F -3.396 -0.627 0.367
Lu -3.054 -1.102 2.459
Lu -2.988 2.832 -2.366
Li -4.776 0.493 -0.249
Li -1.266 1.236 0.343
F -2.646 2.356 -0.274
F -4.729 1.569 -1.792
F -1.313 0.161 1.886
F -4.847 1.795 1.108

24
Lattice="6.497 0.014 0.000 -1.470 6.329 0.000 0.000 0.000 6.847" Properties=species:S:1:pos:R:3 comment="NaLiLu2F8 (GGA-PBEsol, optimized geometry)" e_tot_ry_per_atom=-0.45369 formation_energy_uncorrected_ev_per_atom=-3.795 n_ef_per_ev_fu=0.00 rho_g_cm3=6.3 volume_a3_per_cell=281.7 pbc="T T T"
Na 1.731 2.185 1.712
Lu 2.214 5.865 1.712
Li 0.000 0.000 0.000
Lu 5.204 3.495 1.712
F 2.904 5.932 3.765
F 2.904 5.932 6.505
F 0.875 4.725 5.135
F -0.085 2.161 0.342
F 3.082 3.889 1.712
F 0.439 0.554 5.135
F 5.112 4.182 3.765
F 1.944 2.453 5.135
Na 3.295 4.158 5.135
F 5.112 4.182 6.505
Lu -0.178 2.848 5.135
F -0.085 2.161 3.081
F 4.400 1.932 5.135
F 2.123 0.411 3.081
F 4.151 1.618 1.712
Li 0.000 0.000 3.423
F 2.123 0.411 0.342
Lu 2.813 0.478 5.135
F 0.626 4.411 1.712
F 4.588 5.789 1.712

5
Lattice="-1.950 -2.087 -3.138 1.819 -3.615 1.275 -3.300 -0.759 2.556" Properties=species:S:1:pos:R:3 comment="Li3MgF (GGA-PBEsol, optimized geometry)" e_tot_ry_per_atom=-0.21414 formation_energy_uncorrected_ev_per_atom=-1.005 n_ef_per_ev_fu=2.05 rho_g_cm3=1.4 volume_a3_per_cell=76.4 pbc="T T T"
Li -1.650 -0.380 1.278
Li 0.909 -1.808 0.637
F 0.000 0.000 0.000
Mg -1.716 -3.231 0.347
Li -0.975 -1.044 -1.569

5
Lattice="-2.133 0.895 2.612 -2.414 -2.208 -1.215 1.469 -2.792 2.156" Properties=species:S:1:pos:R:3 comment="LiMgOF2 (GGA-PBEsol, optimized geometry)" e_tot_ry_per_atom=-0.33523 formation_energy_uncorrected_ev_per_atom=-2.003 n_ef_per_ev_fu=1.66 rho_g_cm3=3.0 volume_a3_per_cell=46.5 pbc="T T T"
Mg -1.539 -2.053 1.777
F -1.207 -1.104 -0.607
F -1.067 0.447 1.306
O 0.735 -1.396 1.078
Li 0.000 0.000 0.000

70
Lattice="-1.591 0.407 4.723 11.519 -3.034 4.141 -2.986 12.081 -2.046" Properties=species:S:1:pos:R:3 comment="Li9Mg3P4O16F3 (GGA-PBEsol, optimized geometry)" e_tot_ry_per_atom=-0.47720 formation_energy_uncorrected_ev_per_atom=-2.613 n_ef_per_ev_fu=0.00 rho_g_cm3=2.8 volume_a3_per_cell=688.7 pbc="T T T"
Li 7.611 4.545 6.052
P 2.821 0.977 2.168
Mg 8.516 1.804 6.583
O 9.809 -1.639 4.753
O 5.588 8.767 5.082
Li -1.982 10.888 -0.804
O -0.431 10.281 2.238
Li 7.876 2.844 3.461
F 5.162 -0.899 4.052
O 4.821 8.155 1.159
Li 2.081 6.351 3.854
O -0.574 9.260 -0.753
F 1.232 10.493 4.394
P -1.920 9.917 2.448
F -2.557 6.581 3.455
O 8.169 0.027 5.634
O 2.279 6.150 1.915
Li 6.270 -0.672 6.049
P 8.876 -0.467 4.331
O 3.734 -0.189 1.765
O 6.056 2.165 3.942
Li 5.024 3.061 2.481
Li 2.673 3.034 4.519
F 3.923 4.415 3.177
Li 0.649 0.801 3.598
O 1.364 0.684 1.708
O 4.451 3.358 5.534
O 6.715 2.700 6.353
Li 7.057 7.521 5.177
Mg 3.460 9.627 1.560
Li 0.200 1.852 0.709
Li 0.727 10.111 0.607
P 7.182 5.803 3.221
O 0.426 7.406 4.242
O 6.166 5.657 2.081
Mg 2.497 4.148 1.708
Mg 3.542 -0.189 5.080
F 2.471 5.179 5.269
O 3.356 2.293 1.554
P 4.134 8.473 4.612
O 2.774 1.131 3.721
Li 6.203 0.350 3.112
O 9.710 0.658 3.705
O 4.988 0.951 5.922
O -0.749 2.181 3.515
P 1.521 7.126 0.990
O 7.795 -0.936 3.327
O 1.277 3.669 3.253
P -0.226 3.647 3.559
Li 6.607 8.572 2.288
O 7.701 7.270 3.276
O 6.509 5.519 4.602
Li 0.901 9.062 3.223
F 8.952 3.012 4.991
O 4.009 7.052 4.011
Mg 4.505 5.290 4.933
Mg -1.513 7.635 0.057
P 5.561 2.291 5.413
O 0.015 6.807 1.096
O 1.086 3.767 0.279
O 1.742 8.556 1.527
O 3.708 9.514 3.568
Li -0.771 6.568 2.875
O -2.857 11.090 2.038
O 8.342 4.798 3.017
O -0.977 4.547 2.547
O -2.267 8.668 1.629
Li 4.323 6.405 2.137
Li 9.238 -1.515 6.690
Li -0.614 4.895 0.605

7
Lattice="-2.089 2.353 -0.868 -3.209 -0.597 -0.033 -2.320 3.106 7.865" Properties=species:S:1:pos:R:3 comment="Li2MnF4 (GGA-PBEsol, optimized geometry)" e_tot_ry_per_atom=-0.41391 formation_energy_uncorrected_ev_per_atom=-2.574 n_ef_per_ev_fu=0.00 rho_g_cm3=3.0 volume_a3_per_cell=79.0 e_above_lowest_polymorph_mev_per_atom=59 pbc="T T T"
F -3.594 1.452 0.313
F -5.508 2.712 2.198
Mn 0.000 0.000 0.000
Li -1.982 1.566 2.878
F -2.110 2.149 4.766
F -4.024 3.409 6.650
Li -5.636 3.295 4.085

14
Lattice="3.729 0.000 0.000 0.000 6.681 0.000 0.000 0.000 6.934" Properties=species:S:1:pos:R:3 comment="LiMnF5 (GGA-PBEsol, optimized geometry)" e_tot_ry_per_atom=-0.40644 formation_energy_uncorrected_ev_per_atom=-2.478 n_ef_per_ev_fu=1.96 rho_g_cm3=3.0 volume_a3_per_cell=172.8 e_above_lowest_polymorph_mev_per_atom=23 pbc="T T T"
F 2.780 0.000 1.784
F 0.949 3.341 1.683
Mn 2.791 0.000 0.000
F 0.949 3.341 5.251
F 2.782 4.895 0.000
F 0.919 0.000 0.000
F 0.947 1.554 3.467
Li 3.605 0.000 3.467
Li 0.124 3.341 0.000
F 2.782 1.787 0.000
F 2.810 3.341 3.467
Mn 0.938 3.341 3.467
F 2.780 0.000 5.151
F 0.947 5.127 3.467

12
Lattice="4.965 -0.046 0.000 -0.784 4.982 0.000 -2.091 -2.468 5.259" Properties=species:S:1:pos:R:3 comment="LiMnF4 (GGA-PBEsol, optimized geometry)" e_tot_ry_per_atom=-0.42507 formation_energy_uncorrected_ev_per_atom=-2.544 rho_g_cm3=3.5 volume_a3_per_cell=129.9 pbc="T T T"
F 4.447 1.120 0.471
F -0.126 -1.325 4.788
F -0.644 3.392 2.234
F 2.217 3.793 0.471
Mn -1.633 2.503 3.570
Li 1.241 -0.011 4.300
Li 0.849 2.480 0.959
Mn 3.724 -0.034 1.689
F -2.356 1.348 4.788
F -0.252 0.901 3.025
F 2.735 -0.924 3.025
F 2.343 1.568 2.234

24
Lattice="5.166 0.000 0.000 -2.583 5.392 0.017 0.000 -1.767 9.533" Properties=species:S:1:pos:R:3 comment="Li3Mn2F7 (GGA-PBEsol, optimized geometry)" e_tot_ry_per_atom=-0.42711 formation_energy_uncorrected_ev_per_atom=-2.568 n_ef_per_ev_fu=0.00 rho_g_cm3=3.3 volume_a3_per_cell=265.7 pbc="T T T"
Mn 1.295 0.224 8.051
F -2.043 4.209 1.213
F 0.248 4.942 2.402
Mn 3.871 1.108 3.284
Li 1.382 3.111 7.986
Li 1.291 1.803 4.777
F 2.148 1.673 0.421
F 2.043 3.326 5.980
F 2.866 1.656 7.934
Li 1.201 0.497 1.568
F 3.018 0.790 5.188
F -0.248 4.058 7.169
Li -1.382 3.994 3.220
F 4.627 -0.602 8.341
F 0.539 0.281 3.575
Mn -1.288 2.500 6.270
Li 3.964 -0.387 6.334
F -0.283 1.951 1.621
F 0.283 1.068 6.387
F 2.299 2.540 3.167
Mn 1.288 3.384 1.504
Li 3.874 2.687 0.011
F -0.435 2.818 4.366
F 0.435 1.935 9.133

7
Lattice="-0.043 2.790 3.016 -3.568 1.469 -1.410 -0.383 -4.962 1.785" Properties=species:S:1:pos:R:3 comment="Li2MnF4 (GGA-PBEsol, optimized geometry)" e_tot_ry_per_atom=-0.41534 formation_energy_uncorrected_ev_per_atom=-2.593 rho_g_cm3=3.2 volume_a3_per_cell=74.6 e_above_lowest_polymorph_mev_per_atom=39 pbc="T T T"
F -0.022 1.395 1.508
F -2.950 0.649 2.156
Li -1.116 -0.021 2.802
Mn 0.000 0.000 0.000
Li -2.879 -0.682 0.589
F -1.045 -1.352 1.235
F -1.784 0.735 -0.705